[1]
# Be3Nb3Ge2 PBE-GGA optimized geometry
# Calculated total energy in eV for the cell shown: -213.13
# N(E_F) in states/eV per atom: 0.385
data_Be3Nb3Ge2
_chemical_formula_sum 'Be12 Nb12 Ge8'
_space_group_name_H-M_alt 'C m c m'
_space_group_IT_number 63
_space_group_name_Hall '-C 2c 2'
_cell_length_a 3.626
_cell_length_b 9.482
_cell_length_c 12.597
_cell_angle_alpha 90.00
_cell_angle_beta 90.00
_cell_angle_gamma 90.00
loop_
_atom_site_label
_atom_site_fract_x
_atom_site_fract_y
_atom_site_fract_z
Be1 0.000 0.098 0.038
Be2 0.000 0.140 0.750
Nb1 0.000 0.132 0.250
Nb2 0.000 0.432 0.116
Ge1 0.000 0.283 0.602

=====

[2]
# BeNbGe PBE-GGA optimized geometry
# Calculated total energy in eV for the cell shown: -18.11
# N(E_F) in states/eV per atom: 0.375
data_BeNbGe
_chemical_formula_sum 'Be1 Nb1 Ge1'
_space_group_name_H-M_alt 'P m m m'
_space_group_IT_number 47
_space_group_name_Hall '-P 2 2'
_cell_length_a 3.478
_cell_length_b 3.704
_cell_length_c 3.716
_cell_angle_alpha 90.00
_cell_angle_beta 90.00
_cell_angle_gamma 90.00
loop_
_atom_site_label
_atom_site_fract_x
_atom_site_fract_y
_atom_site_fract_z
Be1 0.000 0.000 0.000
Nb1 0.500 0.500 0.000
Ge1 0.500 0.000 0.500

=====

[3]
# BeNbGe2 PBE-GGA optimized geometry
# Calculated total energy in eV for the cell shown: -88.32
# N(E_F) in states/eV per atom: 1.072
data_BeNbGe2
_chemical_formula_sum 'Be4 Nb4 Ge8'
_space_group_name_H-M_alt 'I -4 2 d'
_space_group_IT_number 122
_space_group_name_Hall 'I -4 2bw'
_cell_length_a 6.837
_cell_length_b 6.837
_cell_length_c 5.312
_cell_angle_alpha 90.00
_cell_angle_beta 90.00
_cell_angle_gamma 90.00
loop_
_atom_site_label
_atom_site_fract_x
_atom_site_fract_y
_atom_site_fract_z
Be1 0.000 0.000 0.000
Nb1 0.000 0.000 0.500
Ge1 0.200 0.250 0.125

=====

[4]
# BeNbGe PBE-GGA optimized geometry
# Calculated total energy in eV for the cell shown: -37.12
# N(E_F) in states/eV per atom: 0.311
data_BeNbGe
_chemical_formula_sum 'Be2 Nb2 Ge2'
_space_group_name_H-M_alt 'C 1 2 1'
_space_group_IT_number 5
_space_group_name_Hall 'C 2y'
_cell_length_a 3.805
_cell_length_b 9.323
_cell_length_c 3.066
_cell_angle_alpha 90.00
_cell_angle_beta 127.20
_cell_angle_gamma 90.00
loop_
_atom_site_label
_atom_site_fract_x
_atom_site_fract_y
_atom_site_fract_z
Be1 0.000 0.000 0.000
Nb1 0.000 0.327 0.000
Ge1 0.000 0.631 0.000

=====

[5]
# BeNbGe PBE-GGA optimized geometry
# Calculated total energy in eV for the cell shown: -19.11
# N(E_F) in states/eV per atom: 0.257
data_BeNbGe
_chemical_formula_sum 'Be1 Nb1 Ge1'
_space_group_name_H-M_alt 'P -6 m 2'
_space_group_IT_number 187
_space_group_name_Hall 'P -6 2'
_cell_length_a 3.7628
_cell_length_b 3.7628
_cell_length_c 3.3962
_cell_angle_alpha 90.00
_cell_angle_beta 90.00
_cell_angle_gamma 120.00
loop_
_atom_site_label
_atom_site_fract_x
_atom_site_fract_y
_atom_site_fract_z
Be1 0.0000 0.0000 0.0000
Nb1 0.6667 0.3333 0.5000
Ge1 0.3333 0.6667 0.0000

=====

[6]
# BeNb3Ge2 PBE-GGA optimized geometry
# Calculated total energy in eV for the cell shown: -182.50
# N(E_F) in states/eV per atom: 0.471
data_BeNb3Ge2
_chemical_formula_sum 'Be4 Nb12 Ge8'
_space_group_name_H-M_alt 'P n m a'
_space_group_IT_number 62
_space_group_name_Hall '-P 2ac 2n'
_cell_length_a 10.400
_cell_length_b 3.645
_cell_length_c 9.871
_cell_angle_alpha 90.00
_cell_angle_beta 90.00
_cell_angle_gamma 90.00
loop_
_atom_site_label
_atom_site_fract_x
_atom_site_fract_y
_atom_site_fract_z
Be1 0.127 0.250 0.126
Nb1 0.048 0.250 0.381
Nb2 0.121 0.750 0.934
Nb3 0.217 0.250 0.715
Ge1 0.023 0.750 0.189
Ge2 0.193 0.750 0.501

=====

[7]
# BeNbGe PBE-GGA optimized geometry
# Calculated total energy in eV for the cell shown: -77.27
# N(E_F) in states/eV per atom: 0.531
data_BeNbGe
_chemical_formula_sum 'Be4 Nb4 Ge4'
_space_group_name_H-M_alt 'C m c m'
_space_group_IT_number 63
_space_group_name_Hall '-C 2c 2'
_cell_length_a 3.465
_cell_length_b 13.819
_cell_length_c 3.499
_cell_angle_alpha 90.00
_cell_angle_beta 90.00
_cell_angle_gamma 90.00
loop_
_atom_site_label
_atom_site_fract_x
_atom_site_fract_y
_atom_site_fract_z
Be1 0.000 0.040 0.250
Nb1 0.000 0.404 0.250
Ge1 0.000 0.201 0.250

=====

[8]
# BeNb2Ge PBE-GGA optimized geometry
# Calculated total energy in eV for the cell shown: -112.56
# Distance to the lowest polymorph of the same formula in eV per atom: 0.553
# N(E_F) in states/eV per atom: 0.116
data_BeNb2Ge
_chemical_formula_sum 'Be4 Nb8 Ge4'
_space_group_name_H-M_alt 'I -4 2 d'
_space_group_IT_number 122
_space_group_name_Hall 'I -4 2bw'
_cell_length_a 6.833
_cell_length_b 6.833
_cell_length_c 5.503
_cell_angle_alpha 90.00
_cell_angle_beta 90.00
_cell_angle_gamma 90.00
loop_
_atom_site_label
_atom_site_fract_x
_atom_site_fract_y
_atom_site_fract_z
Be1 0.000 0.000 0.000
Nb1 0.239 0.250 0.125
Ge1 0.000 0.000 0.500

=====

Looking at energy of formation from the pure elements for the records above, in order, we have -256.6 29.4 91.7 -14.1 -67.0 -236.8 -87.2 33.2 kJ/mol of formula units.